Here is a relaxed structure of MgFe2 from Alexandria. Energies are from PBE. Values from VASP.

Geometry as Quantum ESPRESSO input:
```
&SYSTEM
  ibrav = 0, nat = 6, ntyp = 2
/
ATOMIC_SPECIES
Mg 24.30 Mg.upf
Fe 55.84 Fe.upf
ATOMIC_POSITIONS crystal
Mg 0.375 0.625 0.750
Mg 0.625 0.375 0.250
Fe 0.044 0.794 0.250
Fe 0.206 0.956 0.250
Fe 0.794 0.044 0.750
Fe 0.956 0.206 0.750
CELL_PARAMETERS angstrom
-1.820 1.820 6.763
1.820 -1.820 6.763
1.820 1.820 -6.763
```

Output
- E_form: 507 meV per atom

Here is a relaxed structure of Mg3Fe4 from Alexandria. Energies are from PBE. Values from VASP.

Geometry as Quantum ESPRESSO input:
```
&SYSTEM
  ibrav = 0, nat = 7, ntyp = 2
/
ATOMIC_SPECIES
Mg 24.30 Mg.upf
Fe 55.84 Fe.upf
ATOMIC_POSITIONS crystal
Mg 0.000 0.500 0.000
Mg 0.500 0.000 0.000
Mg 0.500 0.500 0.000
Fe 0.000 0.000 0.264
Fe 0.000 0.000 0.736
Fe 0.333 0.667 0.500
Fe 0.667 0.333 0.500
CELL_PARAMETERS angstrom
5.143 0.000 0.000
-2.572 4.454 0.000
0.000 0.000 4.714
```

Output
- E_form: 595 meV per atom
- Polymorph energy (0 for the lowest one): 461 meV/atom

Here is a relaxed structure of Mg3Fe5 from Alexandria. Energies are from PBE. Values from VASP.

Geometry as Quantum ESPRESSO input:
```
&SYSTEM
  ibrav = 0, nat = 16, ntyp = 2
/
ATOMIC_SPECIES
Mg 24.30 Mg.upf
Fe 55.84 Fe.upf
ATOMIC_POSITIONS crystal
Mg 0.000 0.390 0.250
Mg 0.000 0.610 0.750
Mg 0.390 0.000 0.250
Mg 0.390 0.390 0.750
Mg 0.610 0.000 0.750
Mg 0.610 0.610 0.250
Fe 0.000 0.181 0.750
Fe 0.000 0.819 0.250
Fe 0.181 0.000 0.750
Fe 0.181 0.181 0.250
Fe 0.333 0.667 0.000
Fe 0.333 0.667 0.500
Fe 0.667 0.333 0.000
Fe 0.667 0.333 0.500
Fe 0.819 0.000 0.250
Fe 0.819 0.819 0.750
CELL_PARAMETERS angstrom
7.839 0.000 0.000
-3.920 6.789 0.000
0.000 0.000 4.580
```

Output
- E_form: 416 meV per atom
- Polymorph energy (0 for the lowest one): 207 meV/atom

Here is a relaxed structure of MgFe3 from Alexandria. Energies are from PBE. Values from VASP.

Geometry as Quantum ESPRESSO input:
```
&SYSTEM
  ibrav = 0, nat = 8, ntyp = 2
/
ATOMIC_SPECIES
Mg 24.30 Mg.upf
Fe 55.84 Fe.upf
ATOMIC_POSITIONS crystal
Mg 0.084 0.916 0.750
Mg 0.916 0.084 0.250
Fe 0.092 0.578 0.250
Fe 0.422 0.578 0.750
Fe 0.422 0.908 0.250
Fe 0.578 0.092 0.750
Fe 0.578 0.422 0.250
Fe 0.908 0.422 0.750
CELL_PARAMETERS angstrom
3.302 -3.894 0.000
3.302 3.894 0.000
0.000 0.000 4.337
```

Output
- E_form: 471 meV per atom

Here is a relaxed structure of Mg3Fe2 from Alexandria. Energies are from PBE. Values from VASP.

Geometry as Quantum ESPRESSO input:
```
&SYSTEM
  ibrav = 0, nat = 5, ntyp = 2
/
ATOMIC_SPECIES
Mg 24.30 Mg.upf
Fe 55.84 Fe.upf
ATOMIC_POSITIONS crystal
Mg 0.000 0.000 0.000
Mg 0.206 0.206 0.206
Mg 0.794 0.794 0.794
Fe 0.398 0.398 0.398
Fe 0.602 0.602 0.602
CELL_PARAMETERS angstrom
1.438 0.830 11.693
-1.438 0.830 11.693
0.000 -1.660 11.693
```

Output
- E_form: 294 meV per atom
- Polymorph energy (0 for the lowest one): 0 meV/atom

Here is a relaxed structure of Mg3Fe from Alexandria. Energies are from PBE. Values from VASP.

Geometry as Quantum ESPRESSO input:
```
&SYSTEM
  ibrav = 0, nat = 4, ntyp = 2
/
ATOMIC_SPECIES
Mg 24.30 Mg.upf
Fe 55.84 Fe.upf
ATOMIC_POSITIONS crystal
Mg 0.000 0.500 0.500
Mg 0.500 0.000 0.500
Mg 0.500 0.500 0.000
Fe 0.000 0.000 0.000
CELL_PARAMETERS angstrom
4.733 2.733 0.950
-4.733 2.733 0.950
0.000 -5.465 0.950
```

Output
- E_form: 239 meV per atom

Electronic total energy readings, ordered: -5.666; -4.924; -5.471; -6.275; -4.048; -3.072 eV/atom
Theoretical density readings, ordered: 5.039; 4.556; 4.798; 5.712; 3.660; 2.899 g cm⁻³